The following is a PBE+U calculation of crystalline ZrNi3O at its relaxed geometry, from the Alexandria database.

a b c (Å): 4.040 4.040 4.040
angles (deg): 90.00 90.00 90.00
Last column: magnetic moment on the atom in μB.
Fractional coordinates of all 5 atoms:
Ni 0.000 0.500 0.000  0.70
Ni 0.500 0.000 0.000  0.58
Ni 0.000 0.000 0.500  0.85
Zr 0.500 0.500 0.500  -0.56
O 0.000 0.000 0.000  -0.16

Polymorph energy (0 for the lowest one)   0 meV per atom
Density   7.13 Mg/m³
E   -3.961 eV per atom
Crystal system   cubic